! Ca2ReSb PBE-GGA relaxed; values from VASP
! crystal system: orthorhombic
! E_form (uncorrected): 0.235 eV per atom
! symmetry: No. 65
&SYSTEM
  ibrav = 0, nat = 4, ntyp = 3
/
ATOMIC_SPECIES
Ca 40.08 Ca.upf
Re 186.21 Re.upf
Sb 121.76 Sb.upf
CELL_PARAMETERS angstrom
-2.733 1.516 -0.628
-0.867 -2.423 -1.881
-4.031 -4.235 7.314
ATOMIC_POSITIONS crystal
Ca 0.000 0.000 0.022
Re 0.500 0.500 0.250
Sb 0.500 0.500 0.750
Ca 0.000 0.000 0.478